Y2PaSe | GGA-PBE | optimized geometry

```
data_Y2PaSe
_chemical_formula_sum 'Y6 Pa3 Se3'
_cell_length_a 3.5224
_cell_length_b 3.5224
_cell_length_c 31.1236
_cell_angle_alpha 90.00
_cell_angle_beta 90.00
_cell_angle_gamma 120.00
_space_group_name_H-M_alt 'R -3 m'
_space_group_IT_number 166
_space_group_name_Hall '-R 3 2"'
loop_
_atom_site_label
_atom_site_fract_x
_atom_site_fract_y
_atom_site_fract_z
Y1 0.0000 0.0000 0.1042
Pa1 0.0000 0.0000 0.0000
Se1 0.0000 0.0000 0.5000
```

Results
As for the density of states at the Fermi level: 5.6 states/eV/f.u. The raw total energy is -6.791 eV/atom.